A relaxed structure of DyMnTe2O8. Source: Alexandria, functional GGA+U.

Properties
For the volume, the calculation gives 16.75 Å³/atom. For the energy, the calculation gives -6.2531 eV per atom. The total magnetic moment comes out at 4.677 μB per formula unit. For the density of states at the Fermi level, the calculation gives 2.8 states/eV/f.u.

Unit cell a=6.0316 b=6.0316 c=6.3813 alpha=90.00 beta=90.00 gamma=120.00
With the nearest neighbours (Å) after each atom.
Positions (direct):
Dy (0.0000, 0.0000, 0.5000)  6 O 2.27
Mn (0.0000, 0.0000, 0.0000)  6 O 2.27
Te (0.6667, 0.3333, 0.1773)  4 O 1.81-1.93
Te (0.3333, 0.6667, 0.8227)  4 O 1.81-1.93
O (0.3333, 0.6667, 0.1062)  1 Te 1.81
O (0.3084, 0.1543, 0.2504)  1 Te 1.93
O (0.8457, 0.1542, 0.2504)  1 Te 1.93
O (0.6667, 0.3333, 0.8938)  1 Te 1.81
O (0.1543, 0.8458, 0.7496)  1 Te 1.93
O (0.6916, 0.8457, 0.7496)  1 Te 1.93
O (0.1542, 0.3084, 0.7496)  1 Te 1.93
O (0.8458, 0.6916, 0.2504)  1 Te 1.93